Tb5NdDy3 after structural relaxation. Source: Alexandria, functional PBE-GGA.

The value obtained for the total energy is -156.17 eV/cell. The value obtained for the energy above the most stable polymorph in this dataset is 0.00 eV per formula unit. As for the spin magnetization: 0.000 μB per formula unit. The formation energy is 0.30 eV per atom.

The space group is C2/c (No. 15) and the conventional cell measures 18.2587, 6.3432 and 11.3247 Å, with angles of 90.00, 111.74 and 90.00 degrees. The inequivalent atoms are Tb at (0.0000, 0.1052, 0.2500), Tb at (0.1605, 0.1894, 0.0146), Tb at (0.1705, 0.2098, 0.7120), Nd at (0.0000, 0.3651, 0.7500), Dy at (0.0000, 0.5000, 0.0000) and Dy at (0.1696, 0.3226, 0.3743).

ErMgScPt after structural relaxation. Source: Alexandria, functional PBE-GGA.

The value obtained for the total energy is -83.99 eV/cell. As for the spin magnetization: 0.004 μB per formula unit. The formation energy is -0.62 eV per atom.

The space group is F-43m (No. 216) and the conventional cell measures 6.9546, 6.9546 and 6.9546 Å, with angles of 90.00, 90.00 and 90.00 degrees. The inequivalent atoms are Er at (0.0000, 0.0000, 0.0000), Mg at (0.2500, 0.2500, 0.7500), Sc at (0.0000, 0.0000, 0.5000) and Pt at (0.2500, 0.2500, 0.2500).

Re3TcRh after structural relaxation. Source: Alexandria, functional PBE-GGA.

The value obtained for the total energy is -44.14 eV/cell. The value obtained for the energy above the most stable polymorph in this dataset is 10.07 eV per formula unit. As for the spin magnetization: 0.000 μB per formula unit. The formation energy is 2.18 eV per atom.

The space group is Pm-3m (No. 221) and the conventional cell measures 4.6041, 4.6041 and 4.6041 Å, with angles of 90.00, 90.00 and 90.00 degrees. The inequivalent atoms are Re at (0.0000, 0.0000, 0.5000), Tc at (0.0000, 0.0000, 0.0000) and Rh at (0.5000, 0.5000, 0.5000).

CuBAs2Se after structural relaxation. Source: Alexandria, functional PBE-GGA.

The value obtained for the total energy is -16.64 eV/cell. As for the raw formation energy: 1384 meV/atom. The value obtained for the energy above the most stable polymorph in this dataset is 2.53 eV per formula unit. As for the spin magnetization: 0.000 μB per formula unit.

The space group is P4/mmm (No. 123) and the conventional cell measures 4.6389, 4.6389 and 4.9288 Å, with angles of 90.00, 90.00 and 90.00 degrees. The inequivalent atoms are Cu at (0.0000, 0.0000, 0.0000), B at (0.5000, 0.5000, 0.5000), As at (0.0000, 0.5000, 0.0000) and Se at (0.0000, 0.0000, 0.5000).